Entry 1:
The following is a PBE calculation of a relaxed LaCd5 crystal, from Alexandria.

The structure in extended XYZ format:
```
6
Lattice="0.000 4.238 4.238 4.238 0.000 4.238 4.238 4.238 0.000" Properties=species:S:1:pos:R:3 pbc="T T T"
La 0.000 0.000 0.000
Cd 5.297 3.178 3.178
Cd 2.119 2.119 2.119
Cd 3.178 5.297 3.178
Cd 3.178 3.178 5.297
Cd 5.297 5.297 5.297
```

Calculated values
ΔH_f (0 K) (eV per formula unit): -0.9
Uncorrected energy (eV for the cell shown): -10.4


Entry 2:
The following is a PBE calculation of a relaxed Sr2TiV crystal, from Alexandria.

The structure in extended XYZ format:
```
16
Lattice="8.049 0.000 0.000 0.000 8.049 0.000 0.000 0.000 8.049" Properties=species:S:1:pos:R:3 pbc="T T T"
Sr 2.012 2.012 2.012
Sr 2.012 2.012 6.036
Sr 2.012 6.036 2.012
Sr 2.012 6.036 6.036
Sr 6.036 2.012 2.012
Sr 6.036 2.012 6.036
Sr 6.036 6.036 2.012
Sr 6.036 6.036 6.036
Ti 0.000 0.000 0.000
Ti 0.000 4.024 4.024
Ti 4.024 0.000 4.024
Ti 4.024 4.024 0.000
V 0.000 0.000 4.024
V 0.000 4.024 0.000
V 4.024 0.000 0.000
V 4.024 4.024 4.024
```

Calculated values
ΔH_f (0 K) (eV per formula unit): 4.1
Uncorrected energy (eV for the cell shown): -65.2
Energy above the lowest structure with this stoichiometry (meV per atom): 0


Entry 3:
The following is a PBE calculation of a relaxed SmYEr3Th crystal, from Alexandria.

The structure in extended XYZ format:
```
12
Lattice="10.630 0.000 0.000 0.000 3.561 0.000 -3.484 0.000 10.043" Properties=species:S:1:pos:R:3 pbc="T T T"
Sm 0.923 0.890 1.278
Sm 6.223 2.671 8.765
Y 1.550 2.671 7.102
Y 5.596 0.890 2.941
Er -0.263 0.890 4.597
Er -1.426 0.890 7.939
Er 3.838 2.671 0.411
Er 3.308 0.890 9.632
Er 8.572 2.671 2.104
Er 7.409 2.671 5.446
Th 2.674 2.671 3.792
Th 4.472 0.890 6.252
```

Calculated values
ΔH_f (0 K) (eV per formula unit): 0.2
Uncorrected energy (eV for the cell shown): -64.3


> Which formula does entry 1 have?

LaCd5


> Among the records above, which one has the lowest uncorrected energy?

Sr2TiV


> ΔH_f (0 K) of number 2 (Sr2TiV)?

4.1 eV per formula unit